Entry 1:
# CeMg6Cd2 PBE relaxed
data_CeMg6Cd2
_chemical_formula_sum 'Ce1 Mg6 Cd2'
_cell_length_a 4.4704
_cell_length_b 4.4704
_cell_length_c 10.9814
_cell_angle_alpha 90.00
_cell_angle_beta 90.00
_cell_angle_gamma 90.00
_space_group_name_H-M_alt 'P 4/m m m'
_space_group_IT_number 123
_space_group_name_Hall '-P 4 2'
loop_
_atom_site_label
_atom_site_fract_x
_atom_site_fract_y
_atom_site_fract_z
Ce1 0.0000 0.0000 0.0000
Mg1 0.0000 0.0000 0.5000
Mg2 0.0000 0.5000 0.2917
Mg3 0.5000 0.5000 0.5000
Cd1 0.5000 0.5000 0.1264
# Offset from the most stable computed form   0.00 eV per formula unit
# Energy   -1.989 eV per atom

Entry 2:
# YInGaHg PBE relaxed
data_YInGaHg
_chemical_formula_sum 'Y1 In1 Ga1 Hg1'
_cell_length_a 4.4240
_cell_length_b 4.4590
_cell_length_c 4.6392
_cell_angle_alpha 90.00
_cell_angle_beta 90.00
_cell_angle_gamma 90.00
_space_group_name_H-M_alt 'P m m m'
_space_group_IT_number 47
loop_
_space_group_symop_operation_xyz
'x,y,z'
'-x,-y,-z'
'-x,-y,z'
'x,y,-z'
'x,-y,-z'
'-x,y,z'
'-x,y,-z'
'x,-y,z'
loop_
_atom_site_label
_atom_site_fract_x
_atom_site_fract_y
_atom_site_fract_z
Y1 0.0000 0.0000 0.0000
In1 0.0000 0.5000 0.5000
Ga1 0.5000 0.5000 0.0000
Hg1 0.5000 0.0000 0.5000
# Offset from the most stable computed form   0.00 eV per formula unit
# Energy   -3.544 eV per atom

Entry 3:
# TbSmHo5 PBE relaxed
data_TbSmHo5
_chemical_formula_sum 'Tb4 Sm4 Ho20'
_cell_length_a 11.6480
_cell_length_b 6.7426
_cell_length_c 12.1337
_cell_angle_alpha 90.00
_cell_angle_beta 109.96
_cell_angle_gamma 90.00
_space_group_name_H-M_alt 'C 1 2/c 1'
_space_group_IT_number 15
loop_
_space_group_symop_operation_xyz
'x,y,z'
'-x,-y,-z'
'-x,y,-z+1/2'
'x,-y,z+1/2'
'x+1/2,y+1/2,z'
'-x+1/2,-y+1/2,-z'
'-x+1/2,y+1/2,-z+1/2'
'x+1/2,-y+1/2,z+1/2'
loop_
_atom_site_label
_atom_site_fract_x
_atom_site_fract_y
_atom_site_fract_z
Tb1 0.2500 0.2500 0.0000
Sm1 0.0000 0.0272 0.2500
Ho1 0.0000 0.4129 0.7500
Ho2 0.0784 0.2700 0.5000
Ho3 0.2197 0.3623 0.2482
# Offset from the most stable computed form   0.00 eV per formula unit
# Energy   -4.411 eV per atom

Entry 4:
# AcLaPm2Nd4 PBE relaxed
data_AcLaPm2Nd4
_chemical_formula_sum 'Ac2 La2 Pm4 Nd8'
_cell_length_a 7.4515
_cell_length_b 7.4669
_cell_length_c 10.5035
_cell_angle_alpha 90.09
_cell_angle_beta 90.02
_cell_angle_gamma 90.40
_space_group_name_H-M_alt 'P -1'
_space_group_IT_number 2
loop_
_space_group_symop_operation_xyz
'x,y,z'
'-x,-y,-z'
loop_
_atom_site_label
_atom_site_fract_x
_atom_site_fract_y
_atom_site_fract_z
Ac1 0.0000 0.0000 0.0000
Ac2 0.5000 0.0000 0.5000
La1 0.0000 0.0000 0.5000
La2 0.0000 0.5000 0.5000
Pm1 0.0000 0.5000 0.0000
Pm2 0.5000 0.0000 0.0000
Pm3 0.5000 0.5000 0.0000
Pm4 0.5000 0.5000 0.5000
Nd1 0.2519 0.2550 0.2480
Nd2 0.2522 0.2551 0.7521
Nd3 0.2518 0.7452 0.2481
Nd4 0.2518 0.7451 0.7520
# Energy   -4.678 eV per atom

Entry 5:
# PuIn4Ni4 PBE relaxed
data_PuIn4Ni4
_chemical_formula_sum 'Pu2 In8 Ni8'
_cell_length_a 8.3679
_cell_length_b 8.3679
_cell_length_c 5.1579
_cell_angle_alpha 90.00
_cell_angle_beta 90.00
_cell_angle_gamma 90.00
_space_group_name_H-M_alt 'P 42/n'
_space_group_IT_number 86
loop_
_space_group_symop_operation_xyz
'x,y,z'
'-x,-y,-z'
'-y,x+1/2,z+1/2'
'y,-x+1/2,-z+1/2'
'-x+1/2,-y+1/2,z'
'x+1/2,y+1/2,-z'
'y+1/2,-x,z+1/2'
'-y+1/2,x,-z+1/2'
loop_
_atom_site_label
_atom_site_fract_x
_atom_site_fract_y
_atom_site_fract_z
Pu1 0.2500 0.2500 0.2500
In1 0.0844 0.6472 0.1448
Ni1 0.0380 0.6083 0.6436
# Energy   -5.340 eV per atom

Entry 6:
# CaTl4Sn PBE relaxed
data_CaTl4Sn
_chemical_formula_sum 'Ca4 Tl16 Sn4'
_cell_length_a 9.0671
_cell_length_b 9.0671
_cell_length_c 9.0671
_cell_angle_alpha 90.00
_cell_angle_beta 90.00
_cell_angle_gamma 90.00
_space_group_name_H-M_alt 'F -4 3 m'
_space_group_IT_number 216
_space_group_name_Hall 'F -4 2 3'
loop_
_atom_site_label
_atom_site_fract_x
_atom_site_fract_y
_atom_site_fract_z
Ca1 0.0000 0.0000 0.0000
Tl1 0.1246 0.1246 0.3754
Sn1 0.2500 0.2500 0.7500
# Offset from the most stable computed form   0.64 eV per formula unit
# Energy   -2.616 eV per atom

Entry 7:
# TcMoPt2 PBE relaxed
data_TcMoPt2
_chemical_formula_sum 'Tc2 Mo2 Pt4'
_cell_length_a 3.8523
_cell_length_b 3.8523
_cell_length_c 8.1875
_cell_angle_alpha 90.00
_cell_angle_beta 90.00
_cell_angle_gamma 90.00
_space_group_name_H-M_alt 'I 4/m m m'
_space_group_IT_number 139
_space_group_name_Hall '-I 4 2'
loop_
_atom_site_label
_atom_site_fract_x
_atom_site_fract_y
_atom_site_fract_z
Tc1 0.0000 0.0000 0.0000
Mo1 0.0000 0.0000 0.5000
Pt1 0.0000 0.5000 0.2500
# Offset from the most stable computed form   0.21 eV per formula unit
# Energy   -8.524 eV per atom

Entry 8:
# EuZn2Pb PBE relaxed
data_EuZn2Pb
_chemical_formula_sum 'Eu1 Zn2 Pb1'
_cell_length_a 4.6127
_cell_length_b 4.6127
_cell_length_c 4.5018
_cell_angle_alpha 90.00
_cell_angle_beta 90.00
_cell_angle_gamma 90.00
_space_group_name_H-M_alt 'P 4/m m m'
_space_group_IT_number 123
_space_group_name_Hall '-P 4 2'
loop_
_atom_site_label
_atom_site_fract_x
_atom_site_fract_y
_atom_site_fract_z
Eu1 0.0000 0.0000 0.0000
Zn1 0.0000 0.5000 0.5000
Pb1 0.5000 0.5000 0.0000
# Energy   -4.312 eV per atom

no.,energy relative to the elements (eV per atom),DOS(E_F) (states/eV per atom)
1,-0.06,1.314
2,-0.41,0.463
3,0.19,1.208
4,0.02,1.758
5,0.04,2.279
6,-0.04,0.167
7,-0.20,1.046
8,-0.18,1.389